Below is an optimized crystal structure of TaTc2Se, with properties calculated at the PBE-GGA level.

a = 3.0540 Å, b = 4.4456 Å, c = 4.6405 Å
α = 90.00°, β = 90.00°, γ = 90.00°
With the nearest neighbours (Å) after each atom.
Atoms (fractional coordinates):
Ta  0.0000  0.0000  0.0000  4 Tc 2.70, 4 Se 2.78
Tc  0.0000  0.5000  0.5000  4 Se 2.70, 4 Tc 2.78
Tc  0.5000  0.5000  0.0000  4 Ta 2.70, 4 Tc 2.78
Se  0.5000  0.0000  0.5000  4 Tc 2.70, 4 Ta 2.78

Values from the calculation:
- Formation energy from raw total energies: 0.160 eV/atom
- Theoretical density: 12.0 g/cm3
- DFT total energy: -8.86 eV/atom
- SG: Pmmm (47)
- V: 63 Å³ per cell